No. 1
A relaxed structure of LaHfPO. Source: the Open Quantum Materials Database, functional GGA-PBE.

Computed properties:
The uncorrected energy comes out at -7.74 eV/atom. Its polymorph energy (0 for the lowest one) is 620 meV/atom. The value obtained for the total magnetization is 0.01 Bohr magnetons per cell.

Geometry as POSCAR:
```
LaHfPO
1.0
4.128 0.000 0.000
0.000 4.128 0.000
0.000 0.000 8.404
La Hf P O
2 2 2 2
direct
0.250 0.750 0.000
0.750 0.250 0.000
0.250 0.250 0.407
0.750 0.750 0.593
0.250 0.250 0.748
0.750 0.750 0.252
0.250 0.750 0.500
0.750 0.250 0.500
```

No. 2
A relaxed structure of HoTm2Zn3AgAu2. Source: the Open Quantum Materials Database, functional GGA-PBE.

Computed properties:
The uncorrected energy comes out at -3.55 eV/atom. The value obtained for the total magnetization is 0.01 Bohr magnetons per cell. The energy of formation from the pure elements comes out at -0.587 eV per atom.

Geometry as POSCAR:
```
HoTm2Zn3AgAu2
1.0
3.801 0.000 0.000
0.000 6.494 3.740
0.000 -6.494 3.740
Ho Tm Zn Ag Au
1 2 3 1 2
direct
0.000 0.000 0.000
0.000 0.184 0.592
0.000 0.592 0.184
0.500 0.334 0.334
0.500 0.592 0.850
0.500 0.850 0.592
0.000 0.591 0.591
0.500 0.261 0.925
0.500 0.925 0.261
```

No. 3
A relaxed structure of YTmSbBr2. Source: the Open Quantum Materials Database, functional GGA-PBE.

Computed properties:
The uncorrected energy comes out at -5.12 eV/atom. The value obtained for the total magnetization is 0.00 Bohr magnetons per cell.

Geometry as POSCAR:
```
YTmSbBr2
1.0
4.195 0.000 0.000
-2.098 3.633 0.000
0.000 0.000 10.747
Y Tm Sb Br
1 1 1 2
direct
0.000 0.000 0.000
0.333 0.667 0.320
0.667 0.333 0.163
0.000 0.000 0.476
0.333 0.667 0.840
```

No. 4
A relaxed structure of NaReBi. Source: the Open Quantum Materials Database, functional GGA-PBE.

Computed properties:
The uncorrected energy comes out at -4.75 eV/atom. Its polymorph energy (0 for the lowest one) is 0 meV/atom. The value obtained for the total magnetization is 2.01 Bohr magnetons per cell.

Geometry as POSCAR:
```
NaReBi
1.0
6.576 0.000 0.000
0.000 6.576 0.000
0.000 0.000 6.576
Na Re Bi
4 4 4
direct
0.000 0.000 0.000
0.000 0.500 0.500
0.500 0.000 0.500
0.500 0.500 0.000
0.250 0.250 0.750
0.250 0.750 0.250
0.750 0.250 0.250
0.750 0.750 0.750
0.000 0.000 0.500
0.000 0.500 0.000
0.500 0.000 0.000
0.500 0.500 0.500
```

No. 5
A relaxed structure of NaTcGe. Source: the Open Quantum Materials Database, functional GGA-PBE.

Computed properties:
The uncorrected energy comes out at -4.89 eV/atom. Its polymorph energy (0 for the lowest one) is 0 meV/atom. The value obtained for the total magnetization is 0.01 Bohr magnetons per cell.

Geometry as POSCAR:
```
NaTcGe
1.0
4.569 0.000 0.000
-2.285 3.957 0.000
0.000 0.000 7.991
Na Tc Ge
3 3 3
direct
0.000 0.000 0.000
0.333 0.667 0.337
0.333 0.667 0.663
0.667 0.333 0.165
0.667 0.333 0.500
0.667 0.333 0.835
0.000 0.000 0.340
0.000 0.000 0.660
0.333 0.667 0.000
```

No. 6
A relaxed structure of Rb2TaSnS6. Source: the Open Quantum Materials Database, functional GGA-PBE.

Computed properties:
The uncorrected energy comes out at -4.88 eV/atom. Its polymorph energy (0 for the lowest one) is 80 meV/atom. The value obtained for the total magnetization is 0.00 Bohr magnetons per cell.

Geometry as POSCAR:
```
Rb2TaSnS6
1.0
6.126 -3.503 0.000
6.126 3.503 0.000
-4.223 0.000 5.839
Rb Ta Sn S
2 1 1 6
direct
0.246 0.246 0.246
0.754 0.754 0.754
0.000 0.000 0.500
0.500 0.500 0.000
0.218 0.729 0.236
0.243 0.243 0.690
0.271 0.782 0.764
0.729 0.218 0.236
0.757 0.757 0.310
0.782 0.271 0.764
```

No. 7
A relaxed structure of LaBeBiOs. Source: the Open Quantum Materials Database, functional GGA-PBE.

Computed properties:
The uncorrected energy comes out at -5.36 eV/atom. Its polymorph energy (0 for the lowest one) is 259 meV/atom. The value obtained for the total magnetization is 0.02 Bohr magnetons per cell.

Geometry as POSCAR:
```
LaBeBiOs
1.0
6.995 0.000 0.000
0.000 6.995 0.000
0.000 0.000 6.995
La Be Bi Os
4 4 4 4
direct
0.000 0.000 0.000
0.000 0.500 0.500
0.500 0.000 0.500
0.500 0.500 0.000
0.000 0.000 0.500
0.000 0.500 0.000
0.500 0.000 0.000
0.500 0.500 0.500
0.250 0.250 0.750
0.250 0.750 0.250
0.750 0.250 0.250
0.750 0.750 0.750
0.250 0.250 0.250
0.250 0.750 0.750
0.750 0.250 0.750
0.750 0.750 0.250
```

No. 8
A relaxed structure of TbTeNO. Source: the Open Quantum Materials Database, functional GGA-PBE.

Computed properties:
The uncorrected energy comes out at -6.30 eV/atom. Its polymorph energy (0 for the lowest one) is 448 meV/atom. The value obtained for the total magnetization is 0.00 Bohr magnetons per cell.

Geometry as POSCAR:
```
TbTeNO
1.0
3.670 0.000 0.000
0.000 6.758 0.000
0.000 0.000 6.555
Tb Te N O
2 2 2 2
direct
0.000 0.181 0.000
0.000 0.819 0.500
0.500 0.225 0.502
0.500 0.775 0.002
0.000 0.133 0.349
0.000 0.867 0.849
0.500 0.301 0.879
0.500 0.699 0.379
```

No. 9
A relaxed structure of LiHfCuSn. Source: the Open Quantum Materials Database, functional GGA-PBE.

Computed properties:
The uncorrected energy comes out at -4.95 eV/atom. Its polymorph energy (0 for the lowest one) is 0 meV/atom. The value obtained for the total magnetization is 0.00 Bohr magnetons per cell.

Geometry as POSCAR:
```
LiHfCuSn
1.0
6.427 0.000 0.000
0.000 6.427 0.000
0.000 0.000 6.427
Li Hf Cu Sn
4 4 4 4
direct
0.000 0.000 0.000
0.000 0.500 0.500
0.500 0.000 0.500
0.500 0.500 0.000
0.250 0.250 0.750
0.250 0.750 0.250
0.750 0.250 0.250
0.750 0.750 0.750
0.000 0.000 0.500
0.000 0.500 0.000
0.500 0.000 0.000
0.500 0.500 0.500
0.250 0.250 0.250
0.250 0.750 0.750
0.750 0.250 0.750
0.750 0.750 0.250
```

No. 10
A relaxed structure of PrBeGe. Source: the Open Quantum Materials Database, functional GGA-PBE.

Computed properties:
The uncorrected energy comes out at -3.98 eV/atom. The value obtained for the total magnetization is 0.01 Bohr magnetons per cell.

Geometry as POSCAR:
```
PrBeGe
1.0
6.749 0.000 0.000
0.000 6.749 0.000
0.000 0.000 6.749
Pr Be Ge
4 4 4
direct
0.000 0.000 0.000
0.000 0.500 0.500
0.500 0.000 0.500
0.500 0.500 0.000
0.250 0.250 0.750
0.250 0.750 0.250
0.750 0.250 0.250
0.750 0.750 0.750
0.250 0.250 0.250
0.250 0.750 0.750
0.750 0.250 0.750
0.750 0.750 0.250
```

No. 11
A relaxed structure of Sm2Ag. Source: the Open Quantum Materials Database, functional GGA-PBE.

Computed properties:
The uncorrected energy comes out at -3.63 eV/atom. The value obtained for the total magnetization is 0.02 Bohr magnetons per cell. The energy of formation from the pure elements comes out at 0.455 eV per atom.

Geometry as POSCAR:
```
Sm2Ag
1.0
0.000 4.434 4.434
4.434 0.000 4.434
4.434 4.434 0.000
Sm Ag
4 2
direct
0.000 0.000 0.000
0.000 0.000 0.500
0.000 0.500 0.000
0.500 0.000 0.000
0.375 0.375 0.375
0.625 0.625 0.625
```

No. 12
A relaxed structure of GdNCl. Source: the Open Quantum Materials Database, functional GGA-PBE.

Computed properties:
The uncorrected energy comes out at -6.04 eV/atom. The value obtained for the total magnetization is 3.00 Bohr magnetons per cell.

Geometry as POSCAR:
```
GdNCl
1.0
3.490 0.000 0.000
0.000 5.101 5.024
0.000 -5.101 5.024
Gd N Cl
3 3 3
direct
0.000 0.000 0.000
0.000 0.334 0.667
0.000 0.667 0.334
0.500 0.136 0.802
0.500 0.470 0.470
0.500 0.802 0.136
0.000 0.056 0.388
0.000 0.388 0.056
0.000 0.722 0.722
```

No. 13
A relaxed structure of Li2HfOs. Source: the Open Quantum Materials Database, functional GGA-PBE.

Computed properties:
The uncorrected energy comes out at -6.23 eV/atom. The value obtained for the total magnetization is 0.01 Bohr magnetons per cell.

Geometry as POSCAR:
```
Li2HfOs
1.0
6.283 0.000 0.000
0.000 6.283 0.000
0.000 0.000 6.283
Li Hf Os
8 4 4
direct
0.000 0.000 0.000
0.000 0.500 0.500
0.250 0.250 0.250
0.250 0.750 0.750
0.500 0.000 0.500
0.500 0.500 0.000
0.750 0.250 0.750
0.750 0.750 0.250
0.000 0.000 0.500
0.000 0.500 0.000
0.500 0.000 0.000
0.500 0.500 0.500
0.250 0.250 0.750
0.250 0.750 0.250
0.750 0.250 0.250
0.750 0.750 0.750
```